No. 1
DFT (PBE) results for an optimized crystal structure of IrOsRu.

Cell and atoms, written as POSCAR:
```
IrOsRu
1.0
3.853 0.000 0.000
0.000 3.858 0.000
-1.923 0.000 5.749
Ir Os Ru
2 2 2
Direct
0.083 0.250 0.166
0.917 0.750 0.834
0.415 0.250 0.831
0.585 0.750 0.169
0.247 0.750 0.497
0.753 0.250 0.503
```

Values from the calculation:
E above lowest polymorph ... 18.7 meV/atom
Mass density ... 18.791 Mg/m³
Final energy ... -9.745 eV per atom



No. 2
DFT (PBE) results for an optimized crystal structure of Ir3Os2Ru3.

Cell and atoms, written as POSCAR:
```
Ir3Os2Ru3
1.0
-1.924 1.926 7.679
1.924 -1.926 7.679
1.924 1.926 -7.679
Ir Os Ru
3 2 3
Direct
0.000 0.000 0.000
0.125 0.625 0.500
0.875 0.375 0.500
0.249 0.249 0.000
0.751 0.751 0.000
0.374 0.874 0.500
0.500 0.500 0.000
0.626 0.126 0.500
```

Values from the calculation:
E above lowest polymorph ... 0.0 meV/atom
Mass density ... 18.383 Mg/m³
Final energy ... -9.591 eV per atom



No. 3
DFT (PBE) results for an optimized crystal structure of Ir8Os2Ru.

Cell and atoms, written as POSCAR:
```
Ir8Os2Ru
1.0
-1.913 3.801 5.759
1.913 -3.801 5.759
1.913 3.801 -5.759
Ir Os Ru
8 2 1
Direct
0.093 0.338 0.756
0.171 0.171 0.000
0.256 0.000 0.256
0.418 0.662 0.756
0.582 0.338 0.244
0.744 0.000 0.744
0.829 0.829 0.000
0.907 0.662 0.244
0.331 0.831 0.500
0.669 0.169 0.500
0.000 0.500 0.500
```

Values from the calculation:
Mass density ... 20.015 Mg/m³
Final energy ... -9.157 eV per atom



No. 4
DFT (PBE) results for an optimized crystal structure of IrOs2Ru.

Cell and atoms, written as POSCAR:
```
IrOs2Ru
1.0
2.748 -4.350 0.000
2.748 4.350 0.000
-1.368 0.000 2.380
Ir Os Ru
1 2 1
Direct
0.000 0.000 0.000
0.086 0.585 0.333
0.585 0.086 0.333
0.500 0.500 0.001
```

Values from the calculation:
E above lowest polymorph ... 0.0 meV/atom
Mass density ... 19.660 Mg/m³
Final energy ... -10.162 eV per atom



No. 5
DFT (PBE) results for an optimized crystal structure of Ir4Os3Ru2.

Cell and atoms, written as POSCAR:
```
Ir4Os3Ru2
1.0
6.952 -4.313 0.000
6.952 4.313 0.000
-0.914 0.000 4.516
Ir Os Ru
8 6 4
Direct
0.025 0.822 0.536
0.178 0.975 0.964
0.248 0.554 0.189
0.446 0.752 0.311
0.554 0.248 0.689
0.752 0.446 0.811
0.822 0.025 0.036
0.975 0.178 0.464
0.088 0.323 0.075
0.323 0.088 0.575
0.390 0.610 0.750
0.610 0.390 0.250
0.677 0.912 0.425
0.912 0.677 0.925
0.169 0.445 0.629
0.445 0.169 0.129
0.555 0.831 0.871
0.831 0.555 0.371
```

Values from the calculation:
Mass density ... 18.905 Mg/m³
Final energy ... -9.408 eV per atom



No. 6
DFT (PBE) results for an optimized crystal structure of IrOs2Ru.

Cell and atoms, written as POSCAR:
```
IrOs2Ru
1.0
0.000 3.088 3.088
3.088 0.000 3.088
3.088 3.088 0.000
Ir Os Ru
1 2 1
Direct
0.000 0.000 0.000
0.250 0.250 0.250
0.500 0.500 0.500
0.750 0.750 0.750
```

Values from the calculation:
E above lowest polymorph ... 726.5 meV/atom
Mass density ... 18.996 Mg/m³
Final energy ... -9.436 eV per atom



No. 7
DFT (PBE) results for an optimized crystal structure of Ir4OsRu2.

Cell and atoms, written as POSCAR:
```
Ir4OsRu2
1.0
2.506 -5.077 0.000
2.506 5.077 0.000
0.000 0.000 4.589
Ir Os Ru
4 1 2
Direct
0.117 0.883 0.000
0.220 0.780 0.500
0.780 0.220 0.500
0.883 0.117 0.000
0.500 0.500 0.500
0.378 0.622 0.000
0.622 0.378 0.000
```

Values from the calculation:
E above lowest polymorph ... 519.0 meV/atom
Mass density ... 16.515 Mg/m³
Final energy ... -8.311 eV per atom



No. 8
DFT (PBE) results for an optimized crystal structure of Ir2Os3Ru.

Cell and atoms, written as POSCAR:
```
Ir2Os3Ru
1.0
2.240 -7.317 0.000
2.240 7.317 0.000
0.000 0.000 2.722
Ir Os Ru
2 3 1
Direct
0.189 0.811 0.000
0.811 0.189 0.000
0.000 0.000 0.500
0.351 0.649 0.500
0.649 0.351 0.500
0.500 0.500 0.000
```

Values from the calculation:
E above lowest polymorph ... 420.3 meV/atom
Mass density ... 19.657 Mg/m³
Final energy ... -9.634 eV per atom



No. 9
DFT (PBE) results for an optimized crystal structure of IrOs2Ru2.

Cell and atoms, written as POSCAR:
```
IrOs2Ru2
1.0
6.659 0.000 0.000
0.000 5.440 0.000
-4.462 0.000 7.834
Ir Os Ru
4 8 8
Direct
0.201 0.127 0.050
0.201 0.373 0.550
0.799 0.627 0.450
0.799 0.873 0.950
0.201 0.625 0.050
0.201 0.875 0.550
0.401 0.625 0.850
0.401 0.875 0.350
0.599 0.125 0.650
0.599 0.375 0.150
0.799 0.125 0.450
0.799 0.375 0.950
0.001 0.625 0.250
0.001 0.875 0.750
0.402 0.125 0.850
0.402 0.375 0.350
0.598 0.625 0.650
0.598 0.875 0.150
0.999 0.125 0.250
0.999 0.375 0.750
```

Values from the calculation:
E above lowest polymorph ... 0.0 meV/atom
Mass density ... 18.135 Mg/m³
Final energy ... -9.919 eV per atom



No. 10
DFT (PBE) results for an optimized crystal structure of Ir4Os2Ru.

Cell and atoms, written as POSCAR:
```
Ir4Os2Ru
1.0
-3.801 3.801 3.798
3.801 -3.801 3.798
3.801 3.801 -3.798
Ir Os Ru
8 4 2
Direct
0.129 0.700 0.748
0.131 0.202 0.752
0.300 0.048 0.429
0.450 0.379 0.248
0.619 0.871 0.571
0.621 0.869 0.071
0.798 0.550 0.929
0.952 0.381 0.252
0.247 0.625 0.122
0.375 0.497 0.622
0.503 0.125 0.878
0.875 0.753 0.378
0.000 0.000 0.000
0.750 0.250 0.500
```

Values from the calculation:
E above lowest polymorph ... 200.3 meV/atom
Mass density ... 18.917 Mg/m³
Final energy ... -8.941 eV per atom



No. 11
DFT (PBE) results for an optimized crystal structure of Ir2Os3Ru4.

Cell and atoms, written as POSCAR:
```
Ir2Os3Ru4
1.0
4.753 0.000 0.000
0.002 6.994 0.000
2.365 2.689 7.657
Ir Os Ru
4 6 8
Direct
0.167 0.251 0.499
0.280 0.029 0.276
0.720 0.971 0.724
0.833 0.749 0.501
0.056 0.470 0.723
0.277 0.858 0.613
0.388 0.805 0.057
0.612 0.195 0.943
0.723 0.142 0.387
0.944 0.530 0.277
0.056 0.307 0.054
0.167 0.083 0.835
0.391 0.639 0.388
0.498 0.581 0.835
0.502 0.419 0.165
0.609 0.361 0.612
0.833 0.917 0.165
0.944 0.693 0.946
```

Values from the calculation:
Mass density ... 17.737 Mg/m³
Final energy ... -9.859 eV per atom



No. 12
DFT (PBE) results for an optimized crystal structure of IrOs2Ru.

Cell and atoms, written as POSCAR:
```
IrOs2Ru
1.0
-1.927 1.927 3.838
1.927 -1.927 3.838
1.927 1.927 -3.838
Ir Os Ru
1 2 1
Direct
0.000 0.000 0.000
0.250 0.750 0.500
0.500 0.500 0.000
0.750 0.250 0.500
```

Values from the calculation:
E above lowest polymorph ... 78.9 meV/atom
Mass density ... 19.617 Mg/m³
Final energy ... -10.084 eV per atom



No. 13
DFT (PBE) results for an optimized crystal structure of Ir3Os2Ru6.

Cell and atoms, written as POSCAR:
```
Ir3Os2Ru6
1.0
7.686 0.000 0.000
0.000 4.663 0.000
-4.201 0.000 9.142
Ir Os Ru
6 4 12
Direct
0.000 0.000 0.000
0.000 0.500 0.500
0.179 0.016 0.503
0.179 0.484 0.003
0.821 0.516 0.997
0.821 0.984 0.497
0.466 0.749 0.439
0.466 0.751 0.939
0.534 0.249 0.061
0.534 0.251 0.561
0.098 0.730 0.248
0.098 0.770 0.748
0.265 0.238 0.298
0.265 0.262 0.798
0.389 0.624 0.673
0.389 0.876 0.173
0.611 0.124 0.827
0.611 0.376 0.327
0.735 0.738 0.202
0.735 0.762 0.702
0.902 0.230 0.252
0.902 0.270 0.752
```

Values from the calculation:
Mass density ... 15.848 Mg/m³
Final energy ... -9.203 eV per atom



No. 14
DFT (PBE) results for an optimized crystal structure of Ir2Os4Ru.

Cell and atoms, written as POSCAR:
```
Ir2Os4Ru
1.0
1.362 -13.719 0.000
1.362 13.719 0.000
0.000 0.000 2.728
Ir Os Ru
2 4 1
Direct
0.208 0.792 0.000
0.792 0.208 0.000
0.070 0.930 0.000
0.360 0.640 0.500
0.640 0.360 0.500
0.930 0.070 0.000
0.500 0.500 0.500
```

Values from the calculation:
Mass density ... 20.294 Mg/m³
Final energy ... -10.134 eV per atom



No. 15
DFT (PBE) results for an optimized crystal structure of Ir2Os4Ru3.

Cell and atoms, written as POSCAR:
```
Ir2Os4Ru3
1.0
4.760 0.000 0.000
0.004 6.999 0.000
2.373 2.686 7.667
Ir Os Ru
4 8 6
Direct
0.167 0.252 0.499
0.279 0.028 0.277
0.721 0.972 0.723
0.833 0.748 0.501
0.056 0.307 0.055
0.167 0.082 0.835
0.390 0.639 0.388
0.499 0.581 0.836
0.501 0.419 0.164
0.610 0.361 0.612
0.833 0.918 0.165
0.944 0.693 0.945
0.055 0.470 0.723
0.276 0.857 0.614
0.388 0.804 0.058
0.612 0.196 0.942
0.724 0.143 0.386
0.945 0.530 0.277
```

Values from the calculation:
Mass density ... 18.836 Mg/m³
Final energy ... -10.074 eV per atom



No. 16
DFT (PBE) results for an optimized crystal structure of Ir8OsRu6.

Cell and atoms, written as POSCAR:
```
Ir8OsRu6
1.0
9.878 0.000 0.000
-4.939 8.555 0.000
0.000 0.000 2.726
Ir Os Ru
8 1 6
Direct
0.075 0.789 0.250
0.211 0.285 0.250
0.285 0.075 0.750
0.333 0.667 0.750
0.667 0.333 0.250
0.715 0.925 0.250
0.789 0.715 0.750
0.925 0.211 0.750
0.000 0.000 0.000
0.091 0.472 0.252
0.381 0.909 0.252
0.472 0.381 0.748
0.528 0.619 0.252
0.619 0.091 0.748
0.909 0.528 0.748
```

Values from the calculation:
Mass density ... 16.828 Mg/m³
Final energy ... -8.761 eV per atom



No. 17
DFT (PBE) results for an optimized crystal structure of Ir4Os5Ru2.

Cell and atoms, written as POSCAR:
```
Ir4Os5Ru2
1.0
6.684 0.000 0.000
0.000 17.721 0.000
0.000 0.000 2.731
Ir Os Ru
8 10 4
Direct
0.005 0.132 0.000
0.167 0.456 0.000
0.333 0.956 0.000
0.495 0.632 0.000
0.505 0.368 0.000
0.667 0.044 0.000
0.833 0.544 0.000
0.995 0.868 0.000
0.000 0.000 0.500
0.162 0.325 0.500
0.169 0.593 0.500
0.331 0.093 0.500
0.338 0.825 0.500
0.500 0.500 0.500
0.662 0.175 0.500
0.669 0.907 0.500
0.831 0.407 0.500
0.838 0.675 0.500
0.155 0.719 0.000
0.345 0.219 0.000
0.655 0.781 0.000
0.845 0.281 0.000
```

Values from the calculation:
Mass density ... 19.736 Mg/m³
Final energy ... -9.862 eV per atom



No. 18
DFT (PBE) results for an optimized crystal structure of IrOs2Ru.

Cell and atoms, written as POSCAR:
```
IrOs2Ru
1.0
1.366 0.789 8.851
-1.366 0.789 8.851
0.000 -1.578 8.851
Ir Os Ru
1 2 1
Direct
0.000 0.000 0.000
0.249 0.249 0.249
0.751 0.751 0.751
0.500 0.500 0.500
```

Values from the calculation:
E above lowest polymorph ... 134.6 meV/atom
Mass density ... 19.551 Mg/m³
Final energy ... -10.028 eV per atom



No. 19
DFT (PBE) results for an optimized crystal structure of Ir3OsRu2.

Cell and atoms, written as POSCAR:
```
Ir3OsRu2
1.0
5.431 0.000 0.000
0.000 3.850 0.000
-0.015 0.000 8.192
Ir Os Ru
6 2 4
Direct
0.124 0.250 0.083
0.372 0.750 0.588
0.375 0.750 0.247
0.625 0.250 0.753
0.628 0.250 0.412
0.876 0.750 0.917
0.126 0.250 0.747
0.874 0.750 0.253
0.122 0.250 0.420
0.374 0.750 0.914
0.626 0.250 0.086
0.878 0.750 0.580
```

Values from the calculation:
E above lowest polymorph ... 0.0 meV/atom
Mass density ... 18.790 Mg/m³
Final energy ... -9.401 eV per atom



No. 20
DFT (PBE) results for an optimized crystal structure of Ir3OsRu3.

Cell and atoms, written as POSCAR:
```
Ir3OsRu3
1.0
3.527 2.036 5.066
-3.527 2.036 5.066
0.000 -4.072 5.066
Ir Os Ru
6 2 6
Direct
0.126 0.698 0.500
0.302 0.500 0.874
0.500 0.126 0.698
0.500 0.874 0.302
0.698 0.500 0.126
0.874 0.302 0.500
0.320 0.320 0.320
0.680 0.680 0.680
0.049 0.317 0.812
0.188 0.951 0.683
0.317 0.812 0.049
0.683 0.188 0.951
0.812 0.049 0.317
0.951 0.683 0.188
```

Values from the calculation:
E above lowest polymorph ... 0.0 meV/atom
Mass density ... 16.282 Mg/m³
Final energy ... -8.996 eV per atom